DFT (GGA-PBE) results for crystalline LaSi2Tc3 at its relaxed geometry. Values from VASP.

Cell and atoms, written as Quantum ESPRESSO input:
```
&SYSTEM
  ibrav = 0, nat = 12, ntyp = 3
/
ATOMIC_SPECIES
La 138.91 La.upf
Si 28.09 Si.upf
Tc 98.00 Tc.upf
ATOMIC_POSITIONS crystal
La 0.1443 0.1443 0.0598
La 0.8557 0.8557 0.9402
Si 0.1918 0.1918 0.7025
Si 0.4770 0.4770 0.8127
Si 0.5230 0.5230 0.1873
Si 0.8082 0.8082 0.2975
Tc 0.0454 0.0454 0.3926
Tc 0.2998 0.2998 0.5294
Tc 0.4144 0.4144 0.3529
Tc 0.5856 0.5856 0.6471
Tc 0.7002 0.7002 0.4706
Tc 0.9546 0.9546 0.6074
CELL_PARAMETERS angstrom
7.6760 -2.0753 0.0000
7.6760 2.0753 0.0000
-3.4425 0.0000 6.7855
```

Output
The crystal system is monoclinic. The density of states at the Fermi level comes out at 4.087 states/eV/f.u.

=====

DFT (GGA-PBE) results for crystalline LaSiTc2 at its relaxed geometry. Values from VASP.

Cell and atoms, written as Quantum ESPRESSO input:
```
&SYSTEM
  ibrav = 0, nat = 4, ntyp = 3
/
ATOMIC_SPECIES
La 138.91 La.upf
Si 28.09 Si.upf
Tc 98.00 Tc.upf
ATOMIC_POSITIONS crystal
La 0.0000 0.0000 0.0000
Si 0.5000 0.5000 0.0000
Tc 0.0000 0.5000 0.5000
Tc 0.5000 0.0000 0.5000
CELL_PARAMETERS angstrom
4.4889 0.0000 0.0000
0.0000 4.4889 0.0000
0.0000 0.0000 3.4467
```

Output
The crystal system is tetragonal. The density of states at the Fermi level comes out at 5.763 states/eV/f.u.

=====

DFT (GGA-PBE) results for crystalline LaSi2Tc at its relaxed geometry. Values from VASP.

Cell and atoms, written as Quantum ESPRESSO input:
```
&SYSTEM
  ibrav = 0, nat = 16, ntyp = 3
/
ATOMIC_SPECIES
La 138.91 La.upf
Si 28.09 Si.upf
Tc 98.00 Tc.upf
ATOMIC_POSITIONS crystal
La 0.0000 0.0000 0.0000
La 0.0000 0.5000 0.5000
La 0.5000 0.0000 0.5000
La 0.5000 0.5000 0.0000
Si 0.2500 0.2500 0.2500
Si 0.2500 0.2500 0.7500
Si 0.2500 0.7500 0.2500
Si 0.2500 0.7500 0.7500
Si 0.7500 0.2500 0.2500
Si 0.7500 0.2500 0.7500
Si 0.7500 0.7500 0.2500
Si 0.7500 0.7500 0.7500
Tc 0.0000 0.0000 0.5000
Tc 0.0000 0.5000 0.0000
Tc 0.5000 0.0000 0.0000
Tc 0.5000 0.5000 0.5000
CELL_PARAMETERS angstrom
6.6206 0.0000 0.0000
0.0000 6.6206 0.0000
0.0000 0.0000 6.6206
```

Output
The crystal system is cubic. The excess energy over the best structure of this formula in the dataset is 0.5419 eV per atom. The density of states at the Fermi level comes out at 1.973 states/eV/f.u.

=====

DFT (GGA-PBE) results for crystalline LaSiTc2 at its relaxed geometry. Values from VASP.

Cell and atoms, written as Quantum ESPRESSO input:
```
&SYSTEM
  ibrav = 0, nat = 16, ntyp = 3
/
ATOMIC_SPECIES
La 138.91 La.upf
Si 28.09 Si.upf
Tc 98.00 Tc.upf
ATOMIC_POSITIONS crystal
La 0.0000 0.0000 0.0000
La 0.0000 0.5000 0.5000
La 0.5000 0.0000 0.5000
La 0.5000 0.5000 0.0000
Si 0.2500 0.2500 0.7500
Si 0.2500 0.7500 0.2500
Si 0.7500 0.2500 0.2500
Si 0.7500 0.7500 0.7500
Tc 0.0000 0.0000 0.5000
Tc 0.0000 0.5000 0.0000
Tc 0.2500 0.2500 0.2500
Tc 0.2500 0.7500 0.7500
Tc 0.5000 0.0000 0.0000
Tc 0.5000 0.5000 0.5000
Tc 0.7500 0.2500 0.7500
Tc 0.7500 0.7500 0.2500
CELL_PARAMETERS angstrom
6.6173 0.0000 0.0000
0.0000 6.6173 0.0000
0.0000 0.0000 6.6173
```

Output
The crystal system is cubic. The density of states at the Fermi level comes out at 3.520 states/eV/f.u.

=====

DFT (GGA-PBE) results for crystalline LaSiTc2 at its relaxed geometry. Values from VASP.

Cell and atoms, written as Quantum ESPRESSO input:
```
&SYSTEM
  ibrav = 0, nat = 4, ntyp = 3
/
ATOMIC_SPECIES
La 138.91 La.upf
Si 28.09 Si.upf
Tc 98.00 Tc.upf
ATOMIC_POSITIONS crystal
La 0.0000 0.0000 0.0000
Si 0.5000 0.5000 0.3067
Tc 0.0000 0.0000 0.4912
Tc 0.5000 0.5000 0.6861
CELL_PARAMETERS angstrom
3.1132 0.0000 0.0000
0.0000 3.1132 0.0000
0.0000 0.0000 7.4530
```

Output
The crystal system is tetragonal. The density of states at the Fermi level comes out at 3.331 states/eV/f.u.

=====

DFT (GGA-PBE) results for crystalline LaSiTc2 at its relaxed geometry. Values from VASP.

Cell and atoms, written as Quantum ESPRESSO input:
```
&SYSTEM
  ibrav = 0, nat = 12, ntyp = 3
/
ATOMIC_SPECIES
La 138.91 La.upf
Si 28.09 Si.upf
Tc 98.00 Tc.upf
ATOMIC_POSITIONS crystal
La 0.0000 0.0000 0.0000
La 0.3333 0.6667 0.6667
La 0.6667 0.3333 0.3333
Si 0.0000 0.0000 0.2349
Si 0.3333 0.6667 0.9016
Si 0.6667 0.3333 0.5683
Tc 0.0000 0.0000 0.5010
Tc 0.0000 0.0000 0.7640
Tc 0.3333 0.6667 0.1677
Tc 0.3333 0.6667 0.4306
Tc 0.6667 0.3333 0.0973
Tc 0.6667 0.3333 0.8344
CELL_PARAMETERS angstrom
2.9939 0.0000 0.0000
-1.4970 2.5928 0.0000
0.0000 0.0000 27.9763
```

Output
The crystal system is trigonal. The density of states at the Fermi level comes out at 4.742 states/eV/f.u.

=====

Per-record final energy, eV/atom: -8.297, -7.558, -6.653, -7.431, -7.898, -7.491
Per-record formation energy from raw total energies, eV per atom: -0.49, 0.21, -0.12, 0.34, -0.13, 0.28